First-principles (GGA+U) data for an optimized crystal structure of AlCoNi2O5, as listed in Alexandria via LeMat-Bulk. Values from VASP.

Space group: Cmc2_1 (36)
V: 10.15 A^3/atom
Calculated total energy: -5.69 eV per atom

The structure in Quantum ESPRESSO input format:
```
&SYSTEM
  ibrav = 0, nat = 18, ntyp = 4
/
ATOMIC_SPECIES
O 16.00 O.upf
Co 58.93 Co.upf
Ni 58.69 Ni.upf
Al 26.98 Al.upf
ATOMIC_POSITIONS crystal
O 0.303 0.606 0.431
O 0.940 0.881 0.547
Co 0.464 0.928 0.426
Ni 0.823 0.646 0.821
O 0.265 0.529 0.680
Ni 0.177 0.354 0.321
O 0.060 0.119 0.047
O 0.523 0.047 0.753
O 0.477 0.953 0.253
Al 0.785 0.569 0.545
O 0.697 0.394 0.931
Ni 0.087 0.173 0.637
O 0.633 0.266 0.485
Al 0.215 0.431 0.045
Ni 0.913 0.827 0.137
Co 0.536 0.072 0.926
O 0.735 0.471 0.180
O 0.367 0.734 0.985
CELL_PARAMETERS angstrom
2.943 0.000 0.000
-1.472 6.177 0.000
0.000 0.000 10.052
```